1.
LiZn2Ag meta-GGA SCAN single point on PBEsol structure; energy of formation from the pure elements = -0.18 eV/atom; space group = Fm-3m
1.0
0.000 3.066 3.066
3.066 0.000 3.066
3.066 3.066 0.000
Li Zn Ag
1 2 1
Direct
0.000 0.000 0.000 Li
0.250 0.250 0.250 Zn
0.750 0.750 0.750 Zn
0.500 0.500 0.500 Ag

2.
Be2Mo2Os meta-GGA SCAN single point on PBEsol structure; energy of formation from the pure elements = -0.20 eV/atom; space group = P4/mbm; E above lowest polymorph = 0.000 eV/atom
1.0
6.158 0.000 0.000
0.000 6.158 0.000
0.000 0.000 3.104
Be Mo Os
4 4 2
Direct
0.121 0.379 0.000 Be
0.379 0.879 0.000 Be
0.621 0.121 0.000 Be
0.879 0.621 0.000 Be
0.173 0.673 0.500 Mo
0.327 0.173 0.500 Mo
0.673 0.827 0.500 Mo
0.827 0.327 0.500 Mo
0.000 0.000 0.000 Os
0.500 0.500 0.000 Os

3.
TaCu2P meta-GGA SCAN single point on PBEsol structure; energy of formation from the pure elements = 0.11 eV/atom; space group = I-4m2
1.0
-1.871 1.871 3.779
1.871 -1.871 3.779
1.871 1.871 -3.779
Ta Cu P
1 2 1
Direct
0.000 0.000 0.000 Ta
0.500 0.500 0.000 Cu
0.750 0.250 0.500 Cu
0.250 0.750 0.500 P

4.
Ta2CrP meta-GGA SCAN single point on PBEsol structure; energy of formation from the pure elements = -0.14 eV/atom; space group = P4mm
1.0
3.168 0.000 0.000
0.000 3.168 0.000
0.000 0.000 5.820
Ta Cr P
2 1 1
Direct
0.000 0.000 0.000 Ta
0.500 0.500 0.320 Ta
0.000 0.000 0.552 Cr
0.500 0.500 0.773 P